First-principles (PBE with a Hubbard U) data for crystalline NpMn2AgO8 at its relaxed geometry, as listed in Alexandria.

Calculated values
Mass density in Mg/m³: 6.66
E in eV for the cell shown: -176.8
Spin magnetization in μB per atom: 0.51

```
data_NpMn2AgO8
_symmetry_space_group_name_H-M 'C m m m'
_symmetry_Int_Tables_number 65
_symmetry_space_group_name_Hall '-C 2 2'
_cell_length_a 6.846
_cell_length_b 6.868
_cell_length_c 6.184
_cell_angle_alpha 90.00
_cell_angle_beta 90.00
_cell_angle_gamma 90.00
loop_
_atom_site_label
_atom_site_fract_x
_atom_site_fract_y
_atom_site_fract_z
Np1 0.000 0.000 0.000
Mn1 0.000 0.500 0.256
Ag1 0.000 0.000 0.500
O1 0.000 0.309 0.000
O2 0.000 0.328 0.500
O3 0.214 0.000 0.225
```